Computed, not measured: a relaxed structure of Cd4Ag at the PBE-GGA level of DFT.

## Properties
Distance to the lowest polymorph of the same formula = 0.000 eV/atom
DFT total energy = -1.305 eV per atom
ΔH_f (0 K) = -0.002 eV/atom
Space-group type = C2/m, No. 12

a b c (Å): 3.3096 5.3298 6.6253
angles (deg): 103.56 75.54 108.09
Closest atoms and distances in Å follow each position.
Atoms (fractional coordinates):
Ag  0.0000  0.0000  0.0000  10 Cd 3.01-3.14, 2 Ag 3.31
Cd  0.4074  0.2016  0.3868  2 Ag 3.01, 10 Cd 3.04-3.31
Cd  0.7924  0.3892  0.8043  3 Ag 3.01-3.14, 9 Cd 3.04-3.31
Cd  0.2076  0.6108  0.1957  3 Ag 3.01-3.14, 9 Cd 3.04-3.31
Cd  0.5926  0.7984  0.6132  2 Ag 3.01, 10 Cd 3.04-3.31